1.
The following is a DFT calculation (PBE) of a relaxed structure of Ce2PrTl.

Results
Formation enthalpy at 0 K ... 0.053 eV/atom
Crystal system ... cubic
Relative energy among the computed polymorphs ... 214 meV per atom
SG ... Fm-3m, No. 225

Cell: 5.5506 5.5506 5.5506 Å, 60.00 60.00 60.00°
Fractional positions:
Pr: 0.0000 0.0000 0.0000
Tl: 0.5000 0.5000 0.5000
Ce: 0.2500 0.2500 0.2500
Ce: 0.7500 0.7500 0.7500

2.
The following is a DFT calculation (PBE) of a relaxed structure of CePr2Tl.

Results
Formation enthalpy at 0 K ... -0.008 eV/atom
Crystal system ... cubic
Relative energy among the computed polymorphs ... 147 meV per atom
SG ... Fm-3m, No. 225

Cell: 5.5796 5.5796 5.5796 Å, 60.00 60.00 60.00°
Fractional positions:
Ce: 0.0000 0.0000 0.0000
Pr: 0.2500 0.2500 0.2500
Pr: 0.7500 0.7500 0.7500
Tl: 0.5000 0.5000 0.5000

3.
The following is a DFT calculation (PBE) of a relaxed structure of CePr12Tl3.

Results
Formation enthalpy at 0 K ... -0.133 eV/atom
Crystal system ... tetragonal
SG ... P4/mmm, No. 123

Cell: 5.0342 5.0342 20.5463 Å, 90.00 90.00 90.00°
Fractional positions:
Pr: 0.5000 0.5000 0.5000
Pr: 0.0000 0.5000 0.8713
Pr: 0.5000 0.5000 0.7463
Pr: 0.5000 0.0000 0.1287
Pr: 0.0000 0.5000 0.1287
Pr: 0.5000 0.0000 0.8713
Pr: 0.5000 0.0000 0.6233
Pr: 0.0000 0.5000 0.3767
Pr: 0.5000 0.5000 0.0000
Pr: 0.5000 0.5000 0.2537
Pr: 0.0000 0.5000 0.6233
Pr: 0.5000 0.0000 0.3767
Tl: 0.0000 0.0000 0.2547
Tl: 0.0000 0.0000 0.7453
Tl: 0.0000 0.0000 0.5000
Ce: 0.0000 0.0000 0.0000

4.
The following is a DFT calculation (PBE) of a relaxed structure of Ce2PrTl.

Results
Formation enthalpy at 0 K ... -0.161 eV/atom
Crystal system ... monoclinic
Relative energy among the computed polymorphs ... 0 meV per atom
SG ... P2_1/m, No. 11

Cell: 4.6945 4.3506 11.7609 Å, 90.00 98.84 90.00°
Fractional positions:
Pr: 0.7011 0.7500 0.3933
Pr: 0.2989 0.2500 0.6067
Ce: 0.0020 0.2500 0.8924
Ce: 0.9980 0.7500 0.1076
Ce: 0.6169 0.2500 0.1133
Ce: 0.3831 0.7500 0.8867
Tl: 0.8190 0.7500 0.6799
Tl: 0.1810 0.2500 0.3201

5.
The following is a DFT calculation (PBE) of a relaxed structure of CePr2Tl.

Results
Formation enthalpy at 0 K ... -0.037 eV/atom
Crystal system ... trigonal
Relative energy among the computed polymorphs ... 118 meV per atom
SG ... R3m, No. 160

Cell: 3.6642 3.6642 11.4249 Å, 80.77 80.77 60.00°
Fractional positions:
Pr: 0.2533 0.2533 0.2400
Pr: 0.0802 0.0802 0.7594
Tl: 0.6668 0.6668 0.9997
Ce: 0.4997 0.4997 0.5008

6.
The following is a DFT calculation (PBE) of a relaxed structure of Ce3PrTl6.

Results
Formation enthalpy at 0 K ... -0.121 eV/atom
Crystal system ... orthorhombic
SG ... Cmc2_1, No. 36

Cell: 8.8064 8.3930 8.3930 Å, 92.08 90.00 90.00°
Fractional positions:
Tl: 0.2372 0.1991 0.4529
Tl: 0.7312 0.0360 0.9640
Tl: 0.2372 0.5471 0.8009
Tl: 0.5924 0.6336 0.8440
Tl: 0.7040 0.2922 0.7078
Tl: 0.7372 0.8009 0.5471
Tl: 0.0924 0.3664 0.1560
Tl: 0.0924 0.8440 0.6336
Tl: 0.5924 0.1560 0.3664
Tl: 0.7372 0.4529 0.1991
Tl: 0.2312 0.9640 0.0360
Tl: 0.2040 0.7078 0.2922
Ce: 0.9393 0.0191 0.2970
Ce: 0.9393 0.7030 0.9809
Ce: 0.4625 0.5054 0.4946
Ce: 0.4393 0.9809 0.7030
Ce: 0.9625 0.4946 0.5054
Ce: 0.4393 0.2970 0.0191
Pr: 0.0500 0.1974 0.8026
Pr: 0.5500 0.8026 0.1974

7.
The following is a DFT calculation (PBE) of a relaxed structure of CePr6Tl5.

Results
Formation enthalpy at 0 K ... -0.287 eV/atom
Crystal system ... monoclinic
Relative energy among the computed polymorphs ... 0 meV per atom
SG ... C2/m, No. 12

Cell: 5.1923 8.9969 9.4588 Å, 118.38 105.94 90.04°
Fractional positions:
Tl: 0.6709 0.6709 0.3418
Tl: 0.3291 0.3291 0.6582
Tl: 0.3481 0.8480 0.6961
Tl: 0.6519 0.1520 0.3039
Tl: 0.0000 0.5000 0.0000
Ce: 0.0000 0.0000 0.0000
Pr: 0.1709 0.9143 0.3420
Pr: 0.1709 0.4277 0.3420
Pr: 0.8291 0.5723 0.6580
Pr: 0.5001 0.2649 0.0000
Pr: 0.4999 0.7351 0.0000
Pr: 0.8291 0.0857 0.6580

8.
The following is a DFT calculation (PBE) of a relaxed structure of Ce6PrTl6.

Results
Formation enthalpy at 0 K ... -0.093 eV/atom
Crystal system ... orthorhombic
SG ... Cmmm, No. 65

Cell: 6.3271 6.3270 10.7718 Å, 90.00 90.00 114.75°
Fractional positions:
Tl: 0.6401 0.3599 0.0000
Tl: 0.2423 0.7577 0.5000
Tl: 0.3599 0.6401 0.0000
Tl: 0.7577 0.2423 0.5000
Tl: 0.0000 0.0000 0.6861
Tl: 0.0000 0.0000 0.3139
Pr: 0.0000 0.0000 0.0000
Ce: 0.0000 0.5000 0.2282
Ce: 0.5000 0.0000 0.7718
Ce: 0.5000 0.5000 0.2966
Ce: 0.0000 0.5000 0.7718
Ce: 0.5000 0.0000 0.2282
Ce: 0.5000 0.5000 0.7034